! Sb2PbCl SCAN single point on PBEsol structure; values from VASP
&SYSTEM
  ibrav = 0, nat = 4, ntyp = 3
/
ATOMIC_SPECIES
Sb 121.76 Sb.upf
Cl 35.45 Cl.upf
Pb 207.20 Pb.upf
CELL_PARAMETERS angstrom
-2.571 1.803 -1.058
-1.411 -2.733 -1.231
-4.332 -1.417 8.113
ATOMIC_POSITIONS crystal
Sb 0.000 0.000 0.765
Cl 0.500 0.500 0.000
Pb 0.500 0.500 0.500
Sb 0.000 0.000 0.235
! DOS at the Fermi energy: 0.598 states/eV/atom
! raw formation energy: 0.07 eV per atom
! total magnetic moment: 0.00 μB/f.u.
! excess energy over the best structure of this formula in the dataset: 273 meV per atom


! Zr2CdBr SCAN single point on PBEsol structure; values from VASP
&SYSTEM
  ibrav = 0, nat = 4, ntyp = 3
/
ATOMIC_SPECIES
Br 79.90 Br.upf
Zr 91.22 Zr.upf
Cd 112.41 Cd.upf
CELL_PARAMETERS angstrom
5.008 0.000 0.000
2.504 4.337 0.000
2.504 1.446 4.089
ATOMIC_POSITIONS crystal
Br 0.500 0.500 0.500
Zr 0.000 0.000 0.000
Cd 0.250 0.250 0.250
Zr 0.750 0.750 0.750
! DOS at the Fermi energy: 0.658 states/eV/atom
! raw formation energy: 0.44 eV per atom
! total magnetic moment: 3.58 μB/f.u.
! excess energy over the best structure of this formula in the dataset: 650 meV per atom


! Ni5Rh SCAN single point on PBEsol structure; values from VASP
&SYSTEM
  ibrav = 0, nat = 6, ntyp = 2
/
ATOMIC_SPECIES
Ni 58.69 Ni.upf
Rh 102.91 Rh.upf
CELL_PARAMETERS angstrom
-0.356 1.741 -3.057
-3.463 0.284 0.565
-0.943 4.732 2.805
ATOMIC_POSITIONS crystal
Ni 0.000 0.670 0.660
Ni 0.500 0.831 0.337
Ni 0.000 0.330 0.340
Rh 0.500 0.500 0.000
Ni 0.000 0.000 0.000
Ni 0.500 0.169 0.663
! DOS at the Fermi energy: 0.955 states/eV/atom
! formation energy from the elements: 0.007 eV/atom
! total magnetic moment: 4.88 μB/f.u.


! Co2Re SCAN single point on PBEsol structure; values from VASP
&SYSTEM
  ibrav = 0, nat = 6, ntyp = 2
/
ATOMIC_SPECIES
Re 186.21 Re.upf
Co 58.93 Co.upf
CELL_PARAMETERS angstrom
-2.418 -1.349 3.633
-3.323 -3.096 -0.490
0.544 -4.218 1.667
ATOMIC_POSITIONS crystal
Re 0.500 0.500 0.500
Co 0.125 0.125 0.125
Co 0.625 0.125 0.125
Co 0.125 0.625 0.125
Re 0.750 0.750 0.750
Co 0.125 0.125 0.625
! DOS at the Fermi energy: 1.118 states/eV/atom
! formation energy from the elements: 0.194 eV/atom
! total magnetic moment: 1.13 μB/f.u.
! excess energy over the best structure of this formula in the dataset: 99 meV per atom


Question: Which of these has the highest DOS at the Fermi energy?
Answer: Co2Re